Material: FeSi2Au
Method: DFT, PBE-GGA
State: optimized geometry

a = 2.7178 Å, b = 2.7178 Å, c = 7.6662 Å
α = 90.00°, β = 90.00°, γ = 90.00°
Element x y z (fractional)
Fe (0.0000, 0.0000, 0.0000)
Si (0.5000, 0.5000, 0.1882)
Si (0.5000, 0.5000, 0.8118)
Au (0.0000, 0.0000, 0.5000)

Computed properties:
As for the formation energy without anion corrections: 74 meV per atom. The calculation puts the total energy at -5.573 eV/atom. The space group is P4/mmm (123).

=====

Material: SrNbBr
Method: DFT, PBE-GGA
State: optimized geometry

a = 3.5431 Å, b = 6.4331 Å, c = 8.2101 Å
α = 75.68°, β = 83.69°, γ = 87.43°
Element x y z (fractional)
Sr (0.0000, 0.0000, 0.0000)
Sr (0.0406, 0.6283, 0.4928)
Nb (0.3678, 0.1643, 0.3551)
Nb (0.6582, 0.0882, 0.5954)
Br (0.5046, 0.3830, 0.8002)
Br (0.5185, 0.5963, 0.1607)

Computed properties:
As for the formation energy without anion corrections: -290 meV per atom. The calculation puts the total energy at -4.765 eV/atom. The space group is P1 (1).